AlCoO6F6: relaxed, PBE with a Hubbard U.

The value obtained for the density is 2.852 g/cm3. As for the calculated total energy: -4.039 eV/atom. The total magnetization comes out at 12.1 μB/f.u.

It has space group C2/m (No. 12), with a = 10.188 Å, b = 11.449 Å, c = 5.912 Å, α = 90.00°, β = 92.15° and γ = 90.00°. The inequivalent atoms are Al at (0.250, 0.250, 0.000), Co at (0.000, 0.000, 0.500), Co at (0.000, 0.500, 0.500), O at (0.000, 0.158, 0.500), O at (0.025, 0.500, 0.205), O at (0.079, 0.000, 0.240), O at (0.132, 0.395, 0.536), O at (0.164, 0.000, 0.642), F at (0.131, 0.152, 0.851), F at (0.151, 0.244, 0.248) and F at (0.156, 0.376, 0.899).